Computed, not measured: crystalline LaBi2RhN at its relaxed geometry at the GGA-PBE level of DFT.

## Properties
raw formation energy: -0.064 eV/atom
space group: P4/mmm (123)
total DFT energy (no corrections): -5.738 eV/atom
total moment: 0.000 μB per atom

a b c (Å): 5.5310 3.8206 5.5310
angles (deg): 90.00 90.00 90.00
Fractional positions:
N 0.0000 0.0000 0.0000
Rh 0.0000 0.5000 0.0000
Bi 0.0000 0.0000 0.5000
Bi 0.5000 0.0000 0.0000
La 0.5000 0.5000 0.5000